No. 1
Material: Ca2NiRh
Method: DFT, GGA-PBEsol
State: relaxed

```
4
Lattice="-1.652 2.305 5.147 1.652 -2.305 5.147 1.652 2.305 -5.147" Properties=species:S:1:pos:R:3 pbc="T T T"
Ca 0.000 0.000 0.000
Ca 0.000 2.305 2.203
Ni 1.652 0.000 2.728
Rh 0.000 0.000 4.566
```

E_tot   -4.69 eV per atom
DFT formation energy   -54 meV/atom
Crystal system   orthorhombic
V   78.4 Å³/f.u.
DOS at the Fermi energy   0.9229 states/eV per atom



No. 2
Material: Ba2ZrP
Method: DFT, GGA-PBEsol
State: relaxed

```
4
Lattice="-2.283 2.283 5.316 2.283 -2.283 5.316 2.283 2.283 -5.316" Properties=species:S:1:pos:R:3 pbc="T T T"
Ba 2.283 0.000 2.658
Ba 0.000 2.283 2.658
Zr 0.000 0.000 0.000
P 0.000 0.000 5.316
```

E_tot   -4.56 eV per atom
DFT formation energy   239 meV/atom
Crystal system   tetragonal
V   110.8 Å³/f.u.
DOS at the Fermi energy   1.1464 states/eV per atom



No. 3
Material: NiRh2O4
Method: DFT, GGA-PBEsol
State: relaxed

```
14
Lattice="-2.972 2.972 4.219 2.972 -2.972 4.219 2.972 2.972 -4.219" Properties=species:S:1:pos:R:3 pbc="T T T"
Ni 2.972 1.486 1.055
Ni 0.000 1.486 3.164
Rh 0.000 0.000 0.000
Rh 1.486 1.486 -2.109
Rh 1.486 -1.486 2.109
Rh 0.000 2.972 0.000
O 2.972 2.873 -2.187
O 1.387 1.486 -0.077
O 1.584 -1.486 4.141
O 2.972 -0.099 2.187
O 0.000 3.070 2.032
O 1.387 4.458 0.077
O 1.584 1.486 4.296
O 0.000 0.099 6.405
```

E_tot   -6.88 eV per atom
Crystal system   tetragonal
V   74.5 Å³/f.u.
DOS at the Fermi energy   0.4830 states/eV per atom
Energy relative to the elements, uncorrected   -0.675 eV/atom



No. 4
Material: La2TaSi
Method: DFT, GGA-PBEsol
State: relaxed

```
4
Lattice="-1.949 2.485 4.905 1.949 -2.485 4.905 1.949 2.485 -4.905" Properties=species:S:1:pos:R:3 pbc="T T T"
La 0.000 0.000 0.000
La 0.000 2.485 2.146
Ta 0.000 0.000 4.266
Si 1.949 0.000 2.613
```

E_tot   -7.31 eV per atom
Crystal system   orthorhombic
V   95.0 Å³/f.u.
DOS at the Fermi energy   1.0181 states/eV per atom
Energy relative to the elements, uncorrected   -0.060 eV/atom



No. 5
Material: ScTe2IN
Method: DFT, GGA-PBEsol
State: relaxed

```
5
Lattice="5.474 0.000 0.000 0.000 5.474 0.000 0.000 0.000 5.676" Properties=species:S:1:pos:R:3 pbc="T T T"
Sc 0.000 0.000 0.000
Te 0.000 2.737 0.000
Te 2.737 0.000 0.000
I 0.000 0.000 2.838
N 2.737 2.737 2.838
```

E_tot   -4.10 eV per atom
Crystal system   tetragonal
V   170.1 Å³/f.u.
DOS at the Fermi energy   0.9693 states/eV per atom
Energy relative to the elements, uncorrected   0.694 eV/atom



No. 6
Material: BaMg3Ag
Method: DFT, GGA-PBEsol
State: relaxed

```
5
Lattice="5.235 0.000 0.000 0.000 5.235 0.000 0.000 0.000 5.235" Properties=species:S:1:pos:R:3 pbc="T T T"
Ba 0.000 0.000 0.000
Mg 0.000 2.617 2.617
Mg 2.617 0.000 2.617
Mg 2.617 2.617 0.000
Ag 2.617 2.617 2.617
```

E_tot   -2.20 eV per atom
DFT formation energy   -78 meV/atom
Crystal system   cubic
V   143.4 Å³/f.u.
DOS at the Fermi energy   0.7909 states/eV per atom



No. 7
Material: Y2ScP
Method: DFT, GGA-PBEsol
State: relaxed

```
4
Lattice="-1.769 2.435 5.399 1.769 -2.435 5.399 1.769 2.435 -5.399" Properties=species:S:1:pos:R:3 pbc="T T T"
Y 0.000 0.000 0.000
Y 0.000 2.435 2.139
Sc 0.000 0.000 4.250
P 1.769 0.000 2.262
```

E_tot   -7.15 eV per atom
DFT formation energy   -641 meV/atom
Crystal system   orthorhombic
V   93.0 Å³/f.u.
DOS at the Fermi energy   0.6945 states/eV per atom



No. 8
Material: TeIrRh2
Method: DFT, GGA-PBEsol
State: relaxed

```
4
Lattice="1.419 -2.460 0.000 1.419 2.460 0.000 0.000 0.000 9.253" Properties=species:S:1:pos:R:3 pbc="T T T"
Te 0.000 0.000 0.000
Ir 1.419 0.000 2.490
Rh 0.000 0.000 4.684
Rh 1.419 0.000 6.896
```

E_tot   -6.77 eV per atom
Crystal system   orthorhombic
V   64.6 Å³/f.u.
DOS at the Fermi energy   1.3493 states/eV per atom
Energy relative to the elements, uncorrected   0.632 eV/atom



No. 9
Material: TlZn3Cr
Method: DFT, GGA-PBEsol
State: relaxed

```
5
Lattice="4.832 0.000 0.000 0.000 4.832 0.000 0.000 0.000 4.832" Properties=species:S:1:pos:R:3 pbc="T T T"
Tl 0.000 0.000 0.000
Zn 0.000 2.416 2.416
Zn 2.416 0.000 2.416
Zn 2.416 2.416 0.000
Cr 2.416 2.416 2.416
```

E_tot   -2.80 eV per atom
DFT formation energy   726 meV/atom
Crystal system   cubic
V   112.8 Å³/f.u.
DOS at the Fermi energy   0.5324 states/eV per atom



No. 10
Material: LaZrTc2
Method: DFT, GGA-PBEsol
State: relaxed

```
4
Lattice="1.641 -2.542 0.000 1.641 2.542 0.000 0.000 0.000 8.830" Properties=species:S:1:pos:R:3 pbc="T T T"
La 0.000 0.000 0.000
Zr 0.000 0.000 4.415
Tc 1.641 0.000 2.304
Tc 1.641 0.000 6.525
```

E_tot   -9.05 eV per atom
DFT formation energy   195 meV/atom
Crystal system   orthorhombic
Offset from the most stable computed form   0 meV per atom
V   73.7 Å³/f.u.
DOS at the Fermi energy   0.8339 states/eV per atom



No. 11
Material: MnSi2
Method: DFT, GGA-PBEsol
State: relaxed

```
6
Lattice="0.000 3.395 3.395 3.395 0.000 3.395 3.395 3.395 0.000" Properties=species:S:1:pos:R:3 pbc="T T T"
Mn 0.849 0.849 0.849
Mn 5.940 5.940 5.940
Si 3.395 1.697 1.697
Si 1.697 3.395 1.697
Si 1.697 1.697 3.395
Si 3.395 3.395 3.395
```

E_tot   -6.71 eV per atom
Crystal system   cubic
V   39.1 Å³/f.u.
DOS at the Fermi energy   0.6291 states/eV per atom
Energy relative to the elements, uncorrected   0.379 eV/atom



No. 12
Material: InSbTe
Method: DFT, GGA-PBEsol
State: relaxed

```
3
Lattice="0.000 3.581 3.581 3.581 0.000 3.581 3.581 3.581 0.000" Properties=species:S:1:pos:R:3 pbc="T T T"
In 0.000 0.000 0.000
Sb 1.790 1.790 1.790
Te 5.371 5.371 5.371
```

E_tot   -3.46 eV per atom
Crystal system   cubic
Offset from the most stable computed form   265 meV per atom
V   91.8 Å³/f.u.
DOS at the Fermi energy   0.8782 states/eV per atom
Energy relative to the elements, uncorrected   0.232 eV/atom



No. 13
Material: Y2CdAg
Method: DFT, GGA-PBEsol
State: relaxed

```
4
Lattice="3.642 0.000 0.000 0.000 5.126 0.000 0.000 0.000 5.132" Properties=species:S:1:pos:R:3 pbc="T T T"
Y 0.000 0.000 0.000
Y 0.000 2.563 2.530
Cd 1.821 0.000 2.586
Ag 1.821 2.563 5.064
```

E_tot   -4.89 eV per atom
DFT formation energy   -348 meV/atom
Crystal system   orthorhombic
V   95.8 Å³/f.u.
DOS at the Fermi energy   0.7267 states/eV per atom



No. 14
Material: CdP2Pb
Method: DFT, GGA-PBEsol
State: relaxed

```
4
Lattice="5.496 -1.631 0.000 5.496 1.631 0.000 -2.577 0.000 4.692" Properties=species:S:1:pos:R:3 pbc="T T T"
Cd 0.000 0.000 0.000
P 0.788 0.000 3.504
P 4.938 0.000 2.767
Pb 7.906 0.000 1.345
```

E_tot   -4.03 eV per atom
DFT formation energy   164 meV/atom
Crystal system   monoclinic
V   84.1 Å³/f.u.
DOS at the Fermi energy   0.3171 states/eV per atom



No. 15
Material: BaSr3Ca2Mo2O12
Method: DFT, GGA-PBEsol
State: relaxed

```
20
Lattice="2.907 1.678 9.649 -2.907 1.678 9.649 0.000 -3.356 9.649" Properties=species:S:1:pos:R:3 pbc="T T T"
Ba 0.000 0.000 0.000
Sr 0.000 0.000 6.992
Sr 0.000 0.000 14.333
Sr 0.000 0.000 21.636
Ca 0.000 0.000 3.642
Ca 0.000 0.000 18.113
Mo 0.000 0.000 10.915
Mo 0.000 0.000 25.375
O -1.379 -0.796 9.898
O -1.570 -0.906 16.856
O 0.000 -1.520 12.097
O -1.317 0.760 12.097
O 1.379 -0.796 9.898
O 0.000 1.593 9.898
O -1.369 -0.791 24.315
O 1.317 0.760 12.097
O 1.570 -0.906 16.856
O 0.000 1.813 16.856
O 1.369 -0.791 24.315
O 0.000 1.581 24.315
```

E_tot   -7.61 eV per atom
Crystal system   trigonal
V   282.4 Å³/f.u.
DOS at the Fermi energy   0.0000 states/eV per atom
Energy relative to the elements, uncorrected   -2.686 eV/atom



No. 16
Material: Ir2Pb2O7
Method: DFT, GGA-PBEsol
State: relaxed

```
22
Lattice="0.000 5.133 5.133 5.133 0.000 5.133 5.133 5.133 0.000" Properties=species:S:1:pos:R:3 pbc="T T T"
Ir 0.000 0.000 0.000
Ir 2.566 2.566 0.000
Ir 2.566 0.000 2.566
Ir 0.000 2.566 2.566
Pb 5.133 2.566 2.566
Pb 2.566 5.133 2.566
Pb 2.566 2.566 5.133
Pb 5.133 5.133 5.133
O 3.850 3.850 0.816
O 3.850 0.816 3.850
O 6.883 3.850 3.850
O 6.416 6.416 3.382
O 6.416 3.382 6.416
O 9.449 6.416 6.416
O 3.850 3.850 3.850
O 6.416 6.416 6.416
O 0.816 3.850 3.850
O 3.850 6.883 3.850
O 3.850 3.850 6.883
O 3.382 6.416 6.416
O 6.416 9.449 6.416
O 6.416 6.416 9.449
```

E_tot   -6.86 eV per atom
Crystal system   cubic
V   135.2 Å³/f.u.
DOS at the Fermi energy   0.0296 states/eV per atom
Energy relative to the elements, uncorrected   -1.002 eV/atom



No. 17
Material: PtRhBr
Method: DFT, GGA-PBEsol
State: relaxed

```
3
Lattice="3.612 0.000 0.000 -1.806 3.128 0.000 0.000 0.000 4.842" Properties=species:S:1:pos:R:3 pbc="T T T"
Pt 0.000 0.000 0.000
Rh 0.000 2.086 3.433
Br 1.806 1.043 2.076
```

E_tot   -5.25 eV per atom
Crystal system   trigonal
Offset from the most stable computed form   0 meV per atom
V   54.7 Å³/f.u.
DOS at the Fermi energy   0.9102 states/eV per atom
Energy relative to the elements, uncorrected   0.409 eV/atom



No. 18
Material: NaTi2P3O12
Method: DFT, GGA-PBEsol
State: relaxed

```
72
Lattice="8.641 0.000 0.000 0.000 8.721 0.000 -0.243 0.000 11.905" Properties=species:S:1:pos:R:3 pbc="T T T"
Na 0.311 0.000 1.369
Na 2.857 6.198 6.970
Na 5.541 1.838 4.935
Na 8.087 4.360 10.536
Ti -0.188 1.267 10.244
Ti -0.019 1.892 4.357
Ti 4.101 1.858 7.615
Ti 4.100 5.642 10.329
Ti 4.298 1.282 1.576
Ti 4.297 6.218 4.290
Ti 8.417 6.253 7.548
Ti 8.586 5.627 1.661
P 1.201 4.877 4.750
P 1.290 2.690 1.217
P 1.809 3.768 8.931
P 2.141 8.137 8.961
P 2.947 0.479 4.712
P 3.015 7.001 1.220
P 5.382 2.640 10.685
P 5.450 4.840 7.193
P 6.257 3.776 2.944
P 6.589 8.129 2.974
P 7.108 7.050 10.687
P 7.197 0.517 7.155
O 0.596 2.228 2.514
O 0.542 5.759 5.834
O 0.617 5.242 3.375
O 0.749 1.769 0.097
O 0.933 4.143 0.849
O 0.796 2.775 9.536
O 0.956 3.377 5.031
O 0.986 4.914 8.318
O 1.247 7.560 7.848
O 1.303 0.082 10.054
O 1.423 0.660 4.543
O 1.486 6.778 1.255
O 2.654 3.115 7.837
O 2.716 5.124 4.775
O 2.805 2.506 1.348
O 2.679 4.328 10.065
O 2.991 6.998 9.532
O 3.212 8.508 0.951
O 3.097 0.431 8.319
O 3.243 7.735 5.083
O 3.453 1.420 5.829
O 3.597 6.608 2.585
O 3.669 6.126 0.142
O 3.690 0.892 3.431
O 4.708 5.252 8.473
O 4.729 1.766 11.763
O 4.800 2.247 9.320
O 4.945 5.780 6.076
O 5.154 3.375 6.822
O 5.301 4.791 3.586
O 5.186 4.148 10.954
O 5.407 2.638 2.373
O 5.718 8.689 1.840
O 5.593 6.866 10.557
O 5.682 0.763 7.130
O 5.744 7.475 4.068
O 6.911 2.417 10.650
O 7.094 4.442 1.850
O 6.975 5.021 7.362
O 7.151 3.200 4.056
O 7.412 0.554 3.587
O 7.441 7.738 6.874
O 7.601 7.135 2.369
O 7.465 8.503 11.056
O 7.649 6.129 11.808
O 7.781 0.882 8.530
O 7.855 1.399 6.071
O 7.802 6.588 9.391
```

E_tot   -8.01 eV per atom
Crystal system   monoclinic
Offset from the most stable computed form   33 meV per atom
V   224.3 Å³/f.u.
DOS at the Fermi energy   0.0000 states/eV per atom
Energy relative to the elements, uncorrected   -2.544 eV/atom



No. 19
Material: NiHgBr2
Method: DFT, GGA-PBEsol
State: relaxed

```
4
Lattice="-1.652 3.281 4.677 1.652 -3.281 4.677 1.652 3.281 -4.677" Properties=species:S:1:pos:R:3 pbc="T T T"
Ni 0.000 0.000 0.000
Hg 0.000 0.000 4.677
Br 1.652 0.000 1.589
Br 0.000 3.281 3.088
```

E_tot   -2.73 eV per atom
Crystal system   orthorhombic
Offset from the most stable computed form   0 meV per atom
V   101.4 Å³/f.u.
DOS at the Fermi energy   0.6361 states/eV per atom
Energy relative to the elements, uncorrected   -0.110 eV/atom



No. 20
Material: SrTcRu2
Method: DFT, GGA-PBEsol
State: relaxed

```
4
Lattice="2.880 -4.432 0.000 2.880 4.432 0.000 -0.931 0.000 2.567" Properties=species:S:1:pos:R:3 pbc="T T T"
Sr 0.000 0.000 0.000
Tc 2.880 0.000 0.000
Ru 0.974 2.216 1.284
Ru 0.974 -2.216 1.284
```

E_tot   -7.38 eV per atom
DFT formation energy   988 meV/atom
Crystal system   monoclinic
Offset from the most stable computed form   467 meV per atom
V   65.5 Å³/f.u.
DOS at the Fermi energy   1.5227 states/eV per atom



No. 21
Material: LaBeOs
Method: DFT, GGA-PBEsol
State: relaxed

```
3
Lattice="-1.596 1.596 5.049 1.596 -1.596 5.049 1.596 1.596 -5.049" Properties=species:S:1:pos:R:3 pbc="T T T"
La 0.000 0.000 0.000
Be 0.000 0.000 2.828
Os 0.000 0.000 7.356
```

E_tot   -7.17 eV per atom
DFT formation energy   20 meV/atom
Crystal system   tetragonal
V   51.5 Å³/f.u.
DOS at the Fermi energy   0.5322 states/eV per atom



No. 22
Material: InCuGe2F
Method: DFT, GGA-PBEsol
State: relaxed

```
5
Lattice="4.502 0.000 0.000 0.000 4.502 0.000 0.000 0.000 5.087" Properties=species:S:1:pos:R:3 pbc="T T T"
In 0.000 0.000 0.000
Cu 0.000 0.000 2.543
Ge 0.000 2.251 2.543
Ge 2.251 0.000 2.543
F 2.251 2.251 0.000
```

E_tot   -3.82 eV per atom
Crystal system   tetragonal
V   103.1 Å³/f.u.
DOS at the Fermi energy   0.5729 states/eV per atom
Energy relative to the elements, uncorrected   0.006 eV/atom



No. 23
Material: CrIn3
Method: DFT, GGA-PBEsol
State: relaxed

```
4
Lattice="1.644 0.949 9.267 -1.644 0.949 9.267 0.000 -1.898 9.267" Properties=species:S:1:pos:R:3 pbc="T T T"
Cr 0.000 0.000 0.000
In 0.000 0.000 7.169
In 0.000 0.000 13.901
In 0.000 0.000 20.632
```

E_tot   -4.46 eV per atom
DFT formation energy   336 meV/atom
Crystal system   trigonal
V   86.7 Å³/f.u.
DOS at the Fermi energy   0.6603 states/eV per atom



No. 24
Material: BaH2Pd
Method: DFT, GGA-PBEsol
State: relaxed

```
4
Lattice="0.000 3.164 3.164 3.164 0.000 3.164 3.164 3.164 0.000" Properties=species:S:1:pos:R:3 pbc="T T T"
Ba 0.000 0.000 0.000
H 1.582 1.582 1.582
H 4.747 4.747 4.747
Pd 3.164 3.164 3.164
```

E_tot   -3.53 eV per atom
Crystal system   cubic
Offset from the most stable computed form   612 meV per atom
V   63.4 Å³/f.u.
DOS at the Fermi energy   0.9272 states/eV per atom